SmTcPb2O6 | PBE | relaxed

Cell: 5.927 5.943 8.378 Å, 90.00 90.29 90.00°
Site moments in Bohr magnetons follow the coordinates.
Fractional coordinates of all 20 atoms:
Sm 0.500 0.000 0.000  0.03
Sm 0.000 0.500 0.500  0.03
Tc 0.500 0.000 0.500  1.57
Tc 0.000 0.500 0.000  1.57
Pb 0.009 0.969 0.246  0.02
Pb 0.509 0.531 0.746  0.02
Pb 0.991 0.031 0.754  0.02
Pb 0.491 0.469 0.254  0.02
O 0.267 0.693 0.049  0.03
O 0.767 0.807 0.549  0.03
O 0.733 0.307 0.951  0.03
O 0.233 0.193 0.451  0.03
O 0.317 0.725 0.456  0.02
O 0.817 0.775 0.956  0.02
O 0.683 0.275 0.544  0.02
O 0.183 0.225 0.044  0.02
O 0.913 0.519 0.229  0.02
O 0.413 0.981 0.729  0.02
O 0.087 0.481 0.771  0.02
O 0.587 0.019 0.271  0.02

Calculated values
The value obtained for the energy relative to the elements, uncorrected is -17.549 eV per formula unit. As for the density of states at the Fermi level: 0.3880 states/eV per atom. The mass density is 8.54 g/cm3. The value obtained for the volume is 147.6 Å³/f.u. The final energy is -6.9800 eV per atom.